Record 1
{"formula": "Fe4RePt", "functional": "GGA-PBE", "state": "relaxed", "volume_a3_per_cell": 74.0, "total_energy_ev_per_fu": -52.429, "rho_g_cm3": 13.6, "dos_ef_per_ev_atom": 0.676, "sg": "F-43m", "lattice_angstrom": [[4.7116, 0.0000, 0.0000], [2.3558, 4.0804, 0.0000], [2.3558, 1.3601, 3.8470]], "species": ["Re", "Fe", "Fe", "Fe", "Fe", "Pt"], "frac_coords": [[0.0000, 0.0000, 0.0000], [0.1247, 0.6251, 0.6251], [0.6251, 0.1247, 0.6251], [0.6251, 0.6251, 0.6251], [0.6251, 0.6251, 0.1247], [0.2500, 0.2500, 0.2500]]}

Record 2
{"formula": "KNiAs2Pd", "functional": "GGA-PBE", "state": "relaxed", "volume_a3_per_cell": 110.0, "total_energy_ev_per_fu": -23.277, "rho_g_cm3": 5.3, "dos_ef_per_ev_atom": 0.585, "sg": "I-4m2", "lattice_angstrom": [[-0.8790, 2.1613, -3.5553], [-4.1484, -0.1761, 0.9186], [2.9709, 4.2402, 4.3863]], "species": ["K", "As", "As", "Pd", "Ni"], "frac_coords": [[0.0000, 0.0000, 0.0000], [0.3478, 0.3478, 0.6956], [0.6522, 0.6522, 0.3044], [0.7500, 0.2500, 0.5000], [0.2500, 0.7500, 0.5000]]}

Record 3
{"formula": "YInGa2I6", "functional": "GGA-PBE", "state": "relaxed", "volume_a3_per_cell": 437.5, "total_energy_ev_per_fu": -32.359, "rho_g_cm3": 4.2, "dos_ef_per_ev_atom": 0.000, "e_form_raw_ev_per_atom": -0.780, "sg": "R3", "lattice_angstrom": [[-6.0829, 2.6889, -4.8341], [-2.7143, -4.6843, -6.1871], [-7.9520, -3.7967, 0.8971]], "species": ["I", "I", "I", "I", "I", "I", "Ga", "Ga", "Y", "In"], "frac_coords": [[0.5732, 0.2372, 0.2377], [0.7134, 0.1285, 0.7633], [0.3948, 0.7133, 0.7630], [0.2372, 0.9517, 0.2377], [0.1287, 0.3949, 0.7633], [0.9518, 0.5734, 0.2378], [0.0048, 0.0048, 0.9856], [0.5121, 0.5120, 0.4636], [0.3266, 0.3266, 0.0201], [0.8189, 0.8190, 0.5431]]}

Record 4
{"formula": "Tm2CdTe", "functional": "GGA-PBE", "state": "relaxed", "volume_a3_per_cell": 112.8, "total_energy_ev_per_fu": -15.514, "rho_g_cm3": 8.5, "dos_ef_per_ev_atom": 0.987, "e_form_raw_ev_per_atom": -0.628, "sg": "R3m", "e_above_lowest_polymorph_ev_per_atom": 0.000, "lattice_angstrom": [[-0.0137, 3.2421, 2.1848], [-3.3894, 1.6938, 0.9633], [-1.5061, -3.1127, 8.1074]], "species": ["Tm", "Tm", "Te", "Cd"], "frac_coords": [[0.2481, 0.2481, 0.2557], [0.0851, 0.0851, 0.7446], [0.4995, 0.4995, 0.5014], [0.6673, 0.6673, 0.9982]]}

Record 5
{"formula": "NbGa2Os2", "functional": "GGA-PBE", "state": "relaxed", "volume_a3_per_cell": 157.1, "total_energy_ev_per_fu": -38.093, "rho_g_cm3": 13.0, "dos_ef_per_ev_atom": 0.633, "sg": "P4/mbm", "e_above_lowest_polymorph_ev_per_atom": 0.059, "lattice_angstrom": [[7.1429, 0.0000, 0.0000], [0.0000, 7.1429, 0.0000], [0.0000, 0.0000, 3.0793]], "species": ["Ga", "Ga", "Ga", "Ga", "Nb", "Nb", "Os", "Os", "Os", "Os"], "frac_coords": [[0.8398, 0.3398, 0.5000], [0.1602, 0.6602, 0.5000], [0.6602, 0.8398, 0.5000], [0.3398, 0.1602, 0.5000], [0.5000, 0.5000, 0.0000], [0.0000, 0.0000, 0.0000], [0.1385, 0.3615, 0.0000], [0.3615, 0.8615, 0.0000], [0.6385, 0.1385, 0.0000], [0.8615, 0.6385, 0.0000]]}

Record 6
{"formula": "AcLaRu2", "functional": "GGA-PBE", "state": "relaxed", "volume_a3_per_cell": 95.0, "total_energy_ev_per_fu": -27.424, "rho_g_cm3": 9.9, "dos_ef_per_ev_atom": 0.958, "sg": "Fm-3m", "e_above_lowest_polymorph_ev_per_atom": 0.000, "lattice_angstrom": [[5.1225, 0.0000, 0.0000], [2.5612, 4.4362, 0.0000], [2.5612, 1.4787, 4.1825]], "species": ["Ac", "Ru", "Ru", "La"], "frac_coords": [[0.0000, 0.0000, 0.0000], [0.2500, 0.2500, 0.2500], [0.7500, 0.7500, 0.7500], [0.5000, 0.5000, 0.5000]]}